Density functional theory data (PBE) for a relaxed ZrHgPd crystal.

Properties
**DFT formation energy**: -0.0900 eV per atom
**Volume**: 24.0 Å³ per atom

```
data_ZrHgPd
_chemical_formula_sum 'Zr8 Hg8 Pd8'
_space_group_name_H-M_alt 'C m c e'
_space_group_IT_number 64
_space_group_name_Hall '-C 2ac 2'
_cell_length_a 6.564
_cell_length_b 10.789
_cell_length_c 8.147
_cell_angle_alpha 90.00
_cell_angle_beta 90.00
_cell_angle_gamma 90.00
loop_
_atom_site_label
_atom_site_type_symbol
_atom_site_fract_x
_atom_site_fract_y
_atom_site_fract_z
_atom_site_occupancy
Zr1 Zr 0.250 0.000 0.000 1
Hg1 Hg 0.000 0.249 0.003 1
Pd1 Pd 0.000 0.072 0.750 1
```

=====

Density functional theory data (PBE) for a relaxed NaDy2PtO5 crystal.

Properties
**Volume**: 13.8 Å³ per atom
**Uncorrected formation energy**: -2299 meV per atom

```
data_NaDy2PtO5
_chemical_formula_sum 'Na2 Dy4 Pt2 O10'
_space_group_name_H-M_alt 'P 4/m b m'
_space_group_IT_number 127
_space_group_name_Hall '-P 4 2ab'
_cell_length_a 6.540
_cell_length_b 6.540
_cell_length_c 5.816
_cell_angle_alpha 90.00
_cell_angle_beta 90.00
_cell_angle_gamma 90.00
loop_
_atom_site_label
_atom_site_type_symbol
_atom_site_fract_x
_atom_site_fract_y
_atom_site_fract_z
_atom_site_occupancy
Na1 Na 0.000 0.000 0.000 1
Dy1 Dy 0.176 0.324 0.500 1
Pt1 Pt 0.000 0.500 0.000 1
O1 O 0.000 0.000 0.500 1
O2 O 0.138 0.638 0.261 1
```

=====

Density functional theory data (PBE) for a relaxed Y3Er2Sc3 crystal.

Properties
**DFT formation energy**: 0.0547 eV per atom
**Relative energy among the computed polymorphs**: 0 meV/atom
**Volume**: 28.8 Å³ per atom

```
data_Y3Er2Sc3
_chemical_formula_sum 'Y6 Er4 Sc6'
_space_group_name_H-M_alt 'I m m m'
_space_group_IT_number 71
_space_group_name_Hall '-I 2 2'
_cell_length_a 4.799
_cell_length_b 4.909
_cell_length_c 19.562
_cell_angle_alpha 90.00
_cell_angle_beta 90.00
_cell_angle_gamma 90.00
loop_
_atom_site_label
_atom_site_type_symbol
_atom_site_fract_x
_atom_site_fract_y
_atom_site_fract_z
_atom_site_occupancy
Y1 Y 0.000 0.000 0.000 1
Y2 Y 0.000 0.500 0.123 1
Er1 Er 0.000 0.000 0.249 1
Sc1 Sc 0.000 0.000 0.500 1
Sc2 Sc 0.000 0.500 0.375 1
```

=====

Density functional theory data (PBE) for a relaxed La2Ag3 crystal.

Properties
**DFT formation energy**: 0.1067 eV per atom
**Relative energy among the computed polymorphs**: 371 meV/atom
**Volume**: 27.2 Å³ per atom

```
data_La2Ag3
_chemical_formula_sum 'La6 Ag9'
_space_group_name_H-M_alt 'R -3 m'
_space_group_IT_number 166
_space_group_name_Hall '-R 3 2"'
_cell_length_a 3.7327
_cell_length_b 3.7327
_cell_length_c 33.8364
_cell_angle_alpha 90.00
_cell_angle_beta 90.00
_cell_angle_gamma 120.00
loop_
_atom_site_label
_atom_site_type_symbol
_atom_site_fract_x
_atom_site_fract_y
_atom_site_fract_z
_atom_site_occupancy
La1 La 0.0000 0.0000 0.2110 1
Ag1 Ag 0.0000 0.0000 0.0000 1
Ag2 Ag 0.0000 0.0000 0.3868 1
```

=====

Density functional theory data (PBE) for a relaxed CaCd2Au2 crystal.

Properties
**DFT formation energy**: -0.3453 eV per atom
**Relative energy among the computed polymorphs**: 122 meV/atom
**Volume**: 21.9 Å³ per atom

```
data_CaCd2Au2
_chemical_formula_sum 'Ca2 Cd4 Au4'
_space_group_name_H-M_alt 'P 4/m b m'
_space_group_IT_number 127
_space_group_name_Hall '-P 4 2ab'
_cell_length_a 8.185
_cell_length_b 8.185
_cell_length_c 3.273
_cell_angle_alpha 90.00
_cell_angle_beta 90.00
_cell_angle_gamma 90.00
loop_
_atom_site_label
_atom_site_type_symbol
_atom_site_fract_x
_atom_site_fract_y
_atom_site_fract_z
_atom_site_occupancy
Ca1 Ca 0.000 0.000 0.000 1
Cd1 Cd 0.124 0.376 0.000 1
Au1 Au 0.176 0.676 0.500 1
```

=====

Density functional theory data (PBE) for a relaxed Na3In13 crystal.

Properties
**DFT formation energy**: -0.0408 eV per atom
**Volume**: 27.0 Å³ per atom

```
data_Na3In13
_chemical_formula_sum 'Na6 In26'
_space_group_name_H-M_alt 'A m m 2'
_space_group_IT_number 38
_cell_length_a 8.222
_cell_length_b 10.146
_cell_length_c 10.361
_cell_angle_alpha 90.00
_cell_angle_beta 90.00
_cell_angle_gamma 90.00
loop_
_space_group_symop_operation_xyz
'x,y,z'
'-x,-y,z'
'-x,y,z'
'x,-y,z'
'x,y+1/2,z+1/2'
'-x,-y+1/2,z+1/2'
'-x,y+1/2,z+1/2'
'x,-y+1/2,z+1/2'
loop_
_atom_site_label
_atom_site_type_symbol
_atom_site_fract_x
_atom_site_fract_y
_atom_site_fract_z
_atom_site_occupancy
Na1 Na 0.000 0.000 0.000 1
Na2 Na 0.256 0.000 0.256 1
In1 In 0.000 0.000 0.505 1
In2 In 0.000 0.247 0.752 1
In3 In 0.249 0.000 0.752 1
In4 In 0.254 0.248 0.504 1
In5 In 0.500 0.000 0.509 1
In6 In 0.500 0.000 0.998 1
In7 In 0.500 0.244 0.754 1
```

=====

Density functional theory data (PBE) for a relaxed Na2LaPt2 crystal.

Properties
**DFT formation energy**: -0.2973 eV per atom
**Relative energy among the computed polymorphs**: 247 meV/atom
**Volume**: 20.7 Å³ per atom

```
data_Na2LaPt2
_chemical_formula_sum 'Na4 La2 Pt4'
_space_group_name_H-M_alt 'P 4/m b m'
_space_group_IT_number 127
_space_group_name_Hall '-P 4 2ab'
_cell_length_a 8.240
_cell_length_b 8.240
_cell_length_c 3.048
_cell_angle_alpha 90.00
_cell_angle_beta 90.00
_cell_angle_gamma 90.00
loop_
_atom_site_label
_atom_site_type_symbol
_atom_site_fract_x
_atom_site_fract_y
_atom_site_fract_z
_atom_site_occupancy
Na1 Na 0.108 0.392 0.000 1
La1 La 0.000 0.000 0.000 1
Pt1 Pt 0.192 0.692 0.500 1
```

=====

Density functional theory data (PBE) for a relaxed CdIn6I12 crystal.

Properties
**Volume**: 50.5 Å³ per atom
**Uncorrected formation energy**: -486 meV per atom

```
data_CdIn6I12
_chemical_formula_sum 'Cd1 In6 I12'
_space_group_name_H-M_alt 'P -1'
_space_group_IT_number 2
_cell_length_a 8.358
_cell_length_b 11.110
_cell_length_c 11.111
_cell_angle_alpha 81.80
_cell_angle_beta 82.41
_cell_angle_gamma 70.57
loop_
_space_group_symop_operation_xyz
'x,y,z'
'-x,-y,-z'
loop_
_atom_site_label
_atom_site_type_symbol
_atom_site_fract_x
_atom_site_fract_y
_atom_site_fract_z
_atom_site_occupancy
Cd1 Cd 0.000 0.000 0.000 1
In1 In 0.197 0.693 0.281 1
In2 In 0.315 0.652 0.717 1
In3 In 0.335 0.222 0.980 1
I1 I 0.094 0.812 0.555 1
I2 I 0.149 0.685 0.953 1
I3 I 0.187 0.085 0.789 1
I4 I 0.295 0.954 0.154 1
I5 I 0.358 0.401 0.679 1
I6 I 0.374 0.313 0.295 1
```